(1)
! LiAcP2Pd | the Alexandria database | PBE-GGA | optimized geometry; values from VASP
! formation energy from the elements = -0.9902 eV/atom
&SYSTEM
  ibrav = 0, nat = 5, ntyp = 4
/
ATOMIC_SPECIES
Li 6.94 Li.upf
Pd 106.42 Pd.upf
P 30.97 P.upf
Ac 227.00 Ac.upf
CELL_PARAMETERS angstrom
4.265 0.000 0.000
0.000 4.265 0.000
-2.133 -2.133 5.078
ATOMIC_POSITIONS angstrom
Li 2.133 0.000 2.539
Pd 0.000 2.133 2.539
P 2.133 2.133 1.166
P 0.000 0.000 3.913
Ac 0.000 0.000 0.000

=====

(2)
! Lu2NbPb | the Alexandria database | PBE-GGA | optimized geometry; values from VASP
! formation energy from the elements = -0.0258 eV/atom
&SYSTEM
  ibrav = 0, nat = 4, ntyp = 3
/
ATOMIC_SPECIES
Lu 174.97 Lu.upf
Pb 207.20 Pb.upf
Nb 92.91 Nb.upf
CELL_PARAMETERS angstrom
-1.062 -0.051 3.526
-2.877 -2.117 -0.897
4.065 -6.004 1.137
ATOMIC_POSITIONS angstrom
Lu 0.942 -1.392 0.264
Pb 0.063 -4.086 1.884
Nb -1.969 -1.084 1.315
Lu 3.122 -4.612 0.874

=====

(3)
! SrGeSe2O8 | the Alexandria database | PBE-GGA | optimized geometry; values from VASP
! ΔE_f (raw) = -1.155 eV/atom
&SYSTEM
  ibrav = 0, nat = 12, ntyp = 4
/
ATOMIC_SPECIES
Ge 72.64 Ge.upf
Se 78.96 Se.upf
O 16.00 O.upf
Sr 87.62 Sr.upf
CELL_PARAMETERS angstrom
5.793 0.000 0.000
2.896 5.077 0.489
2.896 2.381 6.222
ATOMIC_POSITIONS angstrom
Ge 0.000 0.000 0.000
Se 2.896 1.631 1.195
O 5.793 3.155 0.919
O 5.793 4.303 5.791
Sr 5.793 3.729 3.355
O 1.574 0.670 1.640
O 10.012 6.789 5.071
O 4.219 0.670 1.640
O 7.367 6.789 5.071
O 2.896 3.108 1.997
O 8.689 4.350 4.714
Se 8.689 5.827 5.515

=====

(4)
! SnAsPt2 | the Alexandria database | PBE-GGA | optimized geometry; values from VASP
! formation energy from the elements = -0.1002 eV/atom
&SYSTEM
  ibrav = 0, nat = 4, ntyp = 3
/
ATOMIC_SPECIES
Sn 118.71 Sn.upf
As 74.92 As.upf
Pt 195.08 Pt.upf
CELL_PARAMETERS angstrom
0.000 3.302 3.302
3.302 0.000 3.302
3.302 3.302 0.000
ATOMIC_POSITIONS angstrom
Sn 3.302 3.302 3.302
As 0.000 0.000 0.000
Pt 4.953 4.953 4.953
Pt 1.651 1.651 1.651

=====

(5)
! La2NdAlN | the Alexandria database | PBE-GGA | optimized geometry; values from VASP
! ΔE_f (raw) = -0.757 eV/atom
&SYSTEM
  ibrav = 0, nat = 5, ntyp = 4
/
ATOMIC_SPECIES
Nd 144.24 Nd.upf
N 14.01 N.upf
La 138.91 La.upf
Al 26.98 Al.upf
CELL_PARAMETERS angstrom
-1.185 4.456 -2.056
-4.896 -0.832 1.019
0.560 2.234 4.517
ATOMIC_POSITIONS angstrom
Nd -0.593 2.228 -1.028
N 0.000 0.000 0.000
La -2.448 -0.416 0.509
Al -2.761 2.928 1.740
La 0.280 1.117 2.258

=====

(6)
! LiCrTcSn | the Alexandria database | PBE-GGA | optimized geometry; values from VASP
! formation energy from the elements = 0.0452 eV/atom
&SYSTEM
  ibrav = 0, nat = 4, ntyp = 4
/
ATOMIC_SPECIES
Tc 98.00 Tc.upf
Cr 52.00 Cr.upf
Li 6.94 Li.upf
Sn 118.71 Sn.upf
CELL_PARAMETERS angstrom
-3.823 -1.985 -0.471
-2.198 -1.325 3.491
-3.650 2.026 1.159
ATOMIC_POSITIONS angstrom
Tc 0.000 0.000 0.000
Cr -7.254 -0.963 3.134
Li -2.418 -0.321 1.045
Sn -4.836 -0.642 2.089

=====

(7)
! Sc2BeSe | the Alexandria database | PBE-GGA | optimized geometry; values from VASP
! ΔE_f (raw) = -0.564 eV/atom
&SYSTEM
  ibrav = 0, nat = 4, ntyp = 3
/
ATOMIC_SPECIES
Be 9.01 Be.upf
Sc 44.96 Sc.upf
Se 78.96 Se.upf
CELL_PARAMETERS angstrom
3.383 0.000 0.000
0.000 3.372 0.007
0.000 3.353 6.242
ATOMIC_POSITIONS angstrom
Be 1.692 5.044 4.687
Sc 0.000 3.355 6.182
Sc 0.000 3.361 3.185
Se 1.692 1.681 1.562

=====

(8)
! BeVCo | the Alexandria database | PBE-GGA | optimized geometry; values from VASP
! formation energy from the elements = -0.1909 eV/atom
&SYSTEM
  ibrav = 0, nat = 12, ntyp = 3
/
ATOMIC_SPECIES
Be 9.01 Be.upf
V 50.94 V.upf
Co 58.93 Co.upf
CELL_PARAMETERS angstrom
-0.906 -3.920 2.141
3.126 0.120 -3.314
4.993 1.447 4.762
ATOMIC_POSITIONS angstrom
Be 3.375 0.057 1.663
V 5.844 -0.033 2.326
V 2.759 -0.927 -0.617
V 1.951 -2.125 1.735
Co 4.908 0.128 0.034
Co -0.234 -3.247 1.232
Co 0.220 -1.284 0.160
Be 2.812 -2.834 5.661
V 3.945 -1.547 3.636
Co 1.331 -3.186 -0.427
Be 0.391 -3.536 3.353
Be 4.455 -1.792 1.092